A plane-wave DFT calculation with PBE was carried out for Ac4MgCd3 after structural relaxation.

```
Ac4MgCd3
1.0
3.959 0.000 0.000
0.000 5.176 0.000
0.000 0.000 13.384
Ac Mg Cd
4 1 3
Direct
0.000 0.000 0.000
0.000 0.500 0.313
0.500 0.000 0.495
0.500 0.500 0.818
0.000 0.000 0.718
0.000 0.500 0.593
0.500 0.000 0.222
0.500 0.500 0.091
```

Computed properties:
Total moment = 0.0 μB/cell
Relative energy among the computed polymorphs = 0.32 eV per formula unit
Energy of formation = -0.20 eV per atom

---

A plane-wave DFT calculation with PBE was carried out for MnSb2IBr after structural relaxation.

```
MnSb2IBr
1.0
5.988 0.000 0.000
0.000 5.988 0.000
0.000 0.000 5.167
Mn Sb I Br
1 2 1 1
Direct
0.000 0.000 0.000
0.000 0.500 0.500
0.500 0.000 0.500
0.000 0.000 0.500
0.500 0.500 0.000
```

Computed properties:
Total moment = 3.5 μB/cell
Relative energy among the computed polymorphs = 3.72 eV per formula unit
Energy relative to the elements, uncorrected = 1.069 eV/atom

---

A plane-wave DFT calculation with PBE was carried out for Na2ScBr5 after structural relaxation.

```
Na2ScBr5
1.0
0.000 6.826 7.122
2.794 0.000 7.122
2.794 6.826 0.000
Na Sc Br
2 1 5
Direct
0.195 0.195 0.805
0.805 0.805 0.195
0.500 0.500 0.500
0.000 0.000 0.000
0.233 0.493 0.507
0.493 0.233 0.767
0.507 0.767 0.233
0.767 0.507 0.493
```

Computed properties:
Total moment = 0.0 μB/cell
Relative energy among the computed polymorphs = 0.65 eV per formula unit
Energy relative to the elements, uncorrected = -1.511 eV/atom

---

A plane-wave DFT calculation with PBE was carried out for Pm6Pr3Y after structural relaxation.

```
Pm6Pr3Y
1.0
5.510 -9.706 0.000
5.510 9.706 0.000
0.000 0.000 6.548
Pm Pr Y
12 6 2
Direct
0.032 0.968 0.500
0.059 0.478 0.009
0.276 0.724 0.297
0.285 0.372 0.200
0.372 0.285 0.700
0.478 0.059 0.509
0.522 0.941 0.009
0.628 0.715 0.200
0.715 0.628 0.700
0.724 0.276 0.797
0.941 0.522 0.509
0.968 0.032 0.000
0.059 0.292 0.611
0.292 0.059 0.111
0.386 0.614 0.724
0.614 0.386 0.224
0.708 0.941 0.611
0.941 0.708 0.111
0.188 0.812 0.754
0.812 0.188 0.254
```

Computed properties:
Total moment = 0.0 μB/cell
Relative energy among the computed polymorphs = 0.00 eV per formula unit
Energy of formation = 0.14 eV per atom

---

A plane-wave DFT calculation with PBE was carried out for SnSe2N after structural relaxation.

```
SnSe2N
1.0
6.758 0.000 0.000
0.000 6.758 0.000
0.000 0.000 6.758
Sn Se N
4 8 4
Direct
0.000 0.000 0.000
0.000 0.500 0.500
0.500 0.000 0.500
0.500 0.500 0.000
0.250 0.250 0.250
0.250 0.250 0.750
0.250 0.750 0.250
0.250 0.750 0.750
0.750 0.250 0.250
0.750 0.250 0.750
0.750 0.750 0.250
0.750 0.750 0.750
0.000 0.000 0.500
0.000 0.500 0.000
0.500 0.000 0.000
0.500 0.500 0.500
```

Computed properties:
Total moment = 5.3 μB/cell
Relative energy among the computed polymorphs = 4.12 eV per formula unit
Energy relative to the elements, uncorrected = 1.232 eV/atom

---

A plane-wave DFT calculation with PBE was carried out for MnAs2BrCl after structural relaxation.

```
MnAs2BrCl
1.0
4.601 0.000 0.000
0.000 4.601 0.000
0.000 0.000 4.990
Mn As Br Cl
1 2 1 1
Direct
0.000 0.000 0.000
0.000 0.500 0.000
0.500 0.000 0.000
0.000 0.000 0.500
0.500 0.500 0.500
```

Computed properties:
Total moment = 0.0 μB/cell
Relative energy among the computed polymorphs = 0.00 eV per formula unit
Energy relative to the elements, uncorrected = 0.266 eV/atom

---

A plane-wave DFT calculation with PBE was carried out for CoSi2Rh after structural relaxation.

```
CoSi2Rh
1.0
2.766 0.000 0.000
-1.383 2.396 0.000
0.000 0.000 22.364
Co Si Rh
3 6 3
Direct
0.000 0.000 0.000
0.333 0.667 0.667
0.667 0.333 0.333
0.000 0.000 0.255
0.000 0.000 0.745
0.333 0.667 0.412
0.333 0.667 0.921
0.667 0.333 0.079
0.667 0.333 0.588
0.000 0.000 0.500
0.333 0.667 0.167
0.667 0.333 0.833
```

Computed properties:
Total moment = 0.0 μB/cell
Relative energy among the computed polymorphs = 0.56 eV per formula unit
Energy relative to the elements, uncorrected = -0.447 eV/atom

---

A plane-wave DFT calculation with PBE was carried out for AcPmTh after structural relaxation.

```
AcPmTh
1.0
3.724 0.000 0.000
-1.862 3.225 0.000
0.000 0.000 9.171
Ac Pm Th
1 1 1
Direct
0.000 0.000 0.000
0.667 0.333 0.361
0.333 0.667 0.672
```

Computed properties:
Total moment = 0.0 μB/cell
Relative energy among the computed polymorphs = 0.05 eV per formula unit
Energy of formation = 0.09 eV per atom

---

A plane-wave DFT calculation with PBE was carried out for BaTiNi2I after structural relaxation.

```
BaTiNi2I
1.0
4.673 0.000 0.000
0.000 4.673 0.000
0.000 0.000 6.893
Ba Ti Ni I
1 1 2 1
Direct
0.000 0.000 0.000
0.000 0.000 0.500
0.000 0.500 0.500
0.500 0.000 0.500
0.500 0.500 0.000
```

Computed properties:
Total moment = 1.2 μB/cell
Energy relative to the elements, uncorrected = 0.489 eV/atom